8
Lattice="-3.6237 3.6237 3.8611 3.6237 -3.6237 3.8611 3.6237 3.6237 -3.8611" Properties=species:S:1:pos:R:3 comment="RbCoSe2 | Alexandria | GGA-PBEsol | relaxed" raw_formation_energy_mev_per_atom=-524 pbc="T T T"
Rb 0.0000 0.0000 0.0000
Rb 0.0000 3.6237 1.9306
Co 3.6237 0.0000 1.9306
Co 0.0000 0.0000 3.8611
Se 1.8119 2.7316 -0.9653
Se 4.5158 1.8119 0.9653
Se 1.8119 0.8921 2.8959
Se -0.8921 1.8119 4.8264

5
Lattice="4.9169 0.0000 0.0000 0.0000 4.9169 0.0000 0.0000 0.0000 4.8780" Properties=species:S:1:pos:R:3 comment="RbZr2CoSn | Alexandria | GGA-PBEsol | relaxed" e_form_kj_per_mol_fu=309 pbc="T T T"
Rb 0.0000 0.0000 0.0000
Zr 0.0000 2.4584 2.4390
Zr 2.4584 0.0000 2.4390
Co 0.0000 0.0000 2.4390
Sn 2.4584 2.4584 0.0000

5
Lattice="4.3052 0.0000 0.0000 0.0000 4.3052 0.0000 0.0000 0.0000 4.3052" Properties=species:S:1:pos:R:3 comment="RbTaCo3 | Alexandria | GGA-PBEsol | relaxed" e_form_kj_per_mol_fu=1260 pbc="T T T"
Rb 0.0000 0.0000 0.0000
Ta 2.1526 2.1526 2.1526
Co 0.0000 0.0000 2.1526
Co 0.0000 2.1526 0.0000
Co 2.1526 0.0000 0.0000

5
Lattice="4.6735 0.0000 0.0000 0.0000 4.6735 0.0000 0.0000 0.0000 4.6735" Properties=species:S:1:pos:R:3 comment="RbTa3Co | Alexandria | GGA-PBEsol | relaxed" e_form_kj_per_mol_fu=1659 pbc="T T T"
Rb 0.0000 0.0000 0.0000
Ta 0.0000 0.0000 2.3368
Ta 0.0000 2.3368 0.0000
Ta 2.3368 0.0000 0.0000
Co 2.3368 2.3368 2.3368

5
Lattice="6.0840 0.0000 0.0000 0.0000 6.0840 0.0000 0.0000 0.0000 4.3583" Properties=species:S:1:pos:R:3 comment="Rb2TaCoW | Alexandria | GGA-PBEsol | relaxed" e_form_kj_per_mol_fu=1290 pbc="T T T"
Rb 0.0000 3.0420 0.0000
Rb 3.0420 0.0000 0.0000
Ta 0.0000 0.0000 2.1791
Co 3.0420 3.0420 0.0000
W 3.0420 3.0420 2.1791

4
Lattice="0.0000 3.9663 3.9663 3.9663 0.0000 3.9663 3.9663 3.9663 0.0000" Properties=species:S:1:pos:R:3 comment="Rb2CoTc | Alexandria | GGA-PBEsol | relaxed" e_form_kj_per_mol_fu=846 pbc="T T T"
Rb 1.9832 1.9832 1.9832
Rb 5.9495 5.9495 5.9495
Co 0.0000 0.0000 0.0000
Tc 3.9663 3.9663 3.9663

5
Lattice="6.2895 0.0000 0.0000 0.0000 6.2895 0.0000 0.0000 0.0000 6.2895" Properties=species:S:1:pos:R:3 comment="Rb3CoTc | Alexandria | GGA-PBEsol | relaxed" e_form_kj_per_mol_fu=968 pbc="T T T"
Rb 0.0000 0.0000 3.1447
Rb 0.0000 3.1447 0.0000
Rb 3.1447 0.0000 0.0000
Co 3.1447 3.1447 3.1447
Tc 0.0000 0.0000 0.0000

4
Lattice="0.0000 3.2336 3.2336 3.2336 0.0000 3.2336 3.2336 3.2336 0.0000" Properties=species:S:1:pos:R:3 comment="RbTi2Co | Alexandria | GGA-PBEsol | relaxed" e_form_kj_per_mol_fu=456 pbc="T T T"
Rb 0.0000 0.0000 0.0000
Ti 1.6168 1.6168 1.6168
Ti 4.8505 4.8505 4.8505
Co 3.2336 3.2336 3.2336

4
Lattice="0.0000 3.1460 3.1460 3.1460 0.0000 3.1460 3.1460 3.1460 0.0000" Properties=species:S:1:pos:R:3 comment="RbCoW2 | Alexandria | GGA-PBEsol | relaxed" e_form_kj_per_mol_fu=807 pbc="T T T"
Rb 0.0000 0.0000 0.0000
Co 3.1460 3.1460 3.1460
W 1.5730 1.5730 1.5730
W 4.7190 4.7190 4.7190

5
Lattice="6.3171 0.0000 0.0000 0.0000 6.3171 0.0000 0.0000 0.0000 6.3171" Properties=species:S:1:pos:R:3 comment="Rb3ZnCo | Alexandria | GGA-PBEsol | relaxed" e_form_kj_per_mol_fu=454 pbc="T T T"
Rb 0.0000 0.0000 3.1586
Rb 0.0000 3.1586 0.0000
Rb 3.1586 0.0000 0.0000
Zn 3.1586 3.1586 3.1586
Co 0.0000 0.0000 0.0000

5
Lattice="-1.6419 1.6419 9.1791 1.6419 -1.6419 9.1791 1.6419 1.6419 -9.1791" Properties=species:S:1:pos:R:3 comment="RbZn2Co2 | Alexandria | GGA-PBEsol | relaxed" e_form_kj_per_mol_fu=237 pbc="T T T"
Rb 0.0000 0.0000 0.0000
Zn 0.0000 0.0000 6.4855
Zn 0.0000 0.0000 11.8728
Co 1.6419 0.0000 4.5896
Co 0.0000 1.6419 4.5896

4
Lattice="0.0000 3.3915 3.3915 3.3915 0.0000 3.3915 3.3915 3.3915 0.0000" Properties=species:S:1:pos:R:3 comment="RbZr2Co | Alexandria | GGA-PBEsol | relaxed" e_form_kj_per_mol_fu=399 pbc="T T T"
Rb 0.0000 0.0000 0.0000
Zr 1.6957 1.6957 1.6957
Zr 5.0872 5.0872 5.0872
Co 3.3915 3.3915 3.3915

no.,magnetic moment (μB per cell),uncorrected energy (eV per atom)
1,0.00,-4.64
2,0.00,-5.60
3,0.00,-4.74
4,2.37,-5.84
5,5.90,-4.56
6,5.95,-3.07
7,4.99,-2.41
8,0.45,-5.17
9,0.00,-7.00
10,0.51,-1.54
11,3.16,-3.44
12,0.00,-5.70